# Dy2Y2CI2Br3 (PBE, relaxed)
# Distance to the lowest polymorph of the same formula: 12 meV/atom
data_Dy2Y2CI2Br3
_space_group_name_H-M_alt 'P 1'
_space_group_IT_number 1
_cell_length_a 9.513
_cell_length_b 9.513
_cell_length_c 8.218
_cell_angle_alpha 101.34
_cell_angle_beta 101.34
_cell_angle_gamma 23.53
loop_
_space_group_symop_operation_xyz
'x,y,z'
loop_
_atom_site_label
_atom_site_type_symbol
_atom_site_fract_x
_atom_site_fract_y
_atom_site_fract_z
_atom_site_occupancy
Dy1 Dy 0.131 0.131 0.060 1
Dy2 Dy 0.869 0.869 0.940 1
Y1 Y 0.499 0.499 0.200 1
Y2 Y 0.501 0.501 0.800 1
C1 C 0.000 0.000 0.000 1
I1 I 0.334 0.334 0.652 1
I2 I 0.666 0.666 0.348 1
Br1 Br 0.000 0.000 0.500 1
Br2 Br 0.336 0.336 0.174 1
Br3 Br 0.664 0.664 0.826 1

---

Crystalline SmGd2HoIn2 at its relaxed geometry. Source: the Open Quantum Materials Database, functional PBE.

```
data_SmGd2HoIn2
_space_group_name_H-M_alt 'P 1'
_space_group_IT_number 1
_cell_length_a 5.421
_cell_length_b 5.421
_cell_length_c 6.777
_cell_angle_alpha 90.00
_cell_angle_beta 90.00
_cell_angle_gamma 120.00
loop_
_space_group_symop_operation_xyz
'x,y,z'
loop_
_atom_site_label
_atom_site_type_symbol
_atom_site_fract_x
_atom_site_fract_y
_atom_site_fract_z
_atom_site_occupancy
Sm1 Sm 0.000 0.000 0.000 1
Gd1 Gd 0.667 0.333 0.256 1
Gd2 Gd 0.667 0.333 0.744 1
Ho1 Ho 0.333 0.667 0.500 1
In1 In 0.000 0.000 0.500 1
In2 In 0.333 0.667 0.000 1
```

---

Listing raw total energy for the structures above in their given order: -52.35 -26.18 eV/cell.